VASP calculation (PBE) on an optimized crystal structure of Nb2Os7W2. Values from VASP.

Output
- Energy relative to the elements: 169 meV/atom
- Crystal system: monoclinic
- Space-group type: No. 12

Geometry as Quantum ESPRESSO input:
```
&SYSTEM
  ibrav = 0, nat = 11, ntyp = 3
/
ATOMIC_SPECIES
Nb 92.91 Nb.upf
Os 190.23 Os.upf
W 183.84 W.upf
CELL_PARAMETERS angstrom
4.439 -4.605 0.000
4.439 4.605 0.000
-2.333 0.000 4.317
ATOMIC_POSITIONS crystal
Nb 0.117 0.117 0.348
Nb 0.883 0.883 0.652
Os 0.081 0.572 0.327
Os 0.226 0.226 0.946
Os 0.428 0.919 0.673
Os 0.500 0.500 0.500
Os 0.572 0.081 0.327
Os 0.774 0.774 0.054
Os 0.919 0.428 0.673
W 0.344 0.656 0.000
W 0.656 0.344 0.000
```

***

VASP calculation (PBE) on an optimized crystal structure of NbOsW3. Values from VASP.

Output
- Energy relative to the elements: 1849 meV/atom
- Crystal system: cubic
- Space-group type: No. 221

Geometry as Quantum ESPRESSO input:
```
&SYSTEM
  ibrav = 0, nat = 5, ntyp = 3
/
ATOMIC_SPECIES
Nb 92.91 Nb.upf
Os 190.23 Os.upf
W 183.84 W.upf
CELL_PARAMETERS angstrom
4.715 0.000 0.000
0.000 4.715 0.000
0.000 0.000 4.715
ATOMIC_POSITIONS crystal
Nb 0.000 0.000 0.000
Os 0.500 0.500 0.500
W 0.000 0.500 0.500
W 0.500 0.000 0.500
W 0.500 0.500 0.000
```

***

VASP calculation (PBE) on an optimized crystal structure of Nb2Os2W. Values from VASP.

Output
- Energy relative to the elements: 198 meV/atom
- Crystal system: tetragonal
- Space-group type: No. 127

Geometry as Quantum ESPRESSO input:
```
&SYSTEM
  ibrav = 0, nat = 10, ntyp = 3
/
ATOMIC_SPECIES
Nb 92.91 Nb.upf
Os 190.23 Os.upf
W 183.84 W.upf
CELL_PARAMETERS angstrom
7.455 0.000 0.000
0.000 7.455 0.000
0.000 0.000 3.035
ATOMIC_POSITIONS crystal
Nb 0.165 0.335 0.000
Nb 0.335 0.835 0.000
Nb 0.665 0.165 0.000
Nb 0.835 0.665 0.000
Os 0.136 0.636 0.500
Os 0.364 0.136 0.500
Os 0.636 0.864 0.500
Os 0.864 0.364 0.500
W 0.000 0.000 0.500
W 0.500 0.500 0.500
```